# 1
Entry from OQMD via LeMat-Bulk: Y2Ho2CIF4 after structural relaxation (GGA-PBE).

Cell and atoms, written as POSCAR:
```
Y2Ho2CIF4
1.0
7.249 -1.820 0.000
7.249 1.820 0.000
-4.042 0.000 7.148
F Y Ho I C
4 2 2 1 1
direct
0.798 0.798 0.674 F
0.202 0.202 0.326 F
0.824 0.824 0.059 F
0.176 0.176 0.941 F
0.683 0.683 0.139 Y
0.317 0.317 0.861 Y
0.987 0.987 0.797 Ho
0.013 0.013 0.203 Ho
0.500 0.500 0.500 I
0.500 0.500 0.000 C
```

Space-group type   C2/m
Total magnetic moment   0.001 μB per cell
Total energy   -6.3670 eV per atom

***

# 2
Entry from OQMD via LeMat-Bulk: DyFe4P2 after structural relaxation (GGA-PBE).

Cell and atoms, written as POSCAR:
```
DyFe4P2
1.0
7.007 0.000 0.000
0.000 7.007 0.000
0.000 0.000 3.610
Fe P Dy
8 4 2
direct
0.656 0.082 0.500 Fe
0.844 0.582 0.000 Fe
0.582 0.844 0.000 Fe
0.418 0.156 0.000 Fe
0.918 0.344 0.500 Fe
0.344 0.918 0.500 Fe
0.082 0.656 0.500 Fe
0.156 0.418 0.000 Fe
0.720 0.280 0.000 P
0.780 0.780 0.500 P
0.280 0.720 0.000 P
0.220 0.220 0.500 P
0.000 0.000 0.000 Dy
0.500 0.500 0.500 Dy
```

Space-group type   P4_2/mnm
Total magnetic moment   6.963 μB per cell
Total energy   -7.6403 eV per atom